1.
{
  "formula": "DyScRh4",
  "functional": "PBE-GGA",
  "state": "optimized geometry",
  "cell": [[-5.144, 0.928, -0.682], [-3.244, -3.953, -1.278], [-3.490, -1.788, 3.522]],
  "species": ["Sc", "Rh", "Rh", "Rh", "Rh", "Dy"],
  "frac_coords": [[0.000, 0.000, 0.000], [0.625, 0.625, 0.124], [0.625, 0.124, 0.625], [0.625, 0.625, 0.625], [0.124, 0.625, 0.625], [0.250, 0.250, 0.250]],
  "e_above_lowest_polymorph_kj_per_mol_atoms": 0.0,
  "vol_a3_per_cell": 103.55,
  "n_ef_per_ev_cell": 4.212
}

***

2.
{
  "formula": "DyPuTh2S4",
  "functional": "PBE-GGA",
  "state": "optimized geometry",
  "cell": [[-0.888, 0.040, -3.847], [3.287, -5.929, -0.820], [-6.715, -1.305, 1.537]],
  "species": ["Dy", "Pu", "Th", "Th", "S", "S", "S", "S"],
  "frac_coords": [[0.500, 0.500, 0.000], [0.000, 0.000, 0.000], [0.500, 0.000, 0.500], [0.000, 0.500, 0.500], [0.500, 0.247, 0.237], [0.500, 0.753, 0.763], [0.000, 0.256, 0.763], [0.000, 0.744, 0.237]],
  "vol_a3_per_cell": 178.72,
  "n_ef_per_ev_cell": 8.677,
  "formation_energy_uncorrected_ev_per_atom": -1.868
}

***

3.
{
  "formula": "ZrIrCl2",
  "functional": "PBE-GGA",
  "state": "optimized geometry",
  "cell": [[6.746, 0.024, 0.004], [4.109, 5.350, -0.004], [-4.890, -3.771, 2.714]],
  "species": ["Ir", "Zr", "Cl", "Cl"],
  "frac_coords": [[0.587, 0.587, 0.000], [0.745, 0.245, 0.500], [0.922, 0.922, 0.000], [0.247, 0.747, 0.500]],
  "e_above_lowest_polymorph_kj_per_mol_atoms": 42.1,
  "vol_a3_per_cell": 97.60,
  "n_ef_per_ev_cell": 2.291,
  "formation_energy_uncorrected_ev_per_atom": -0.370
}

***

4.
{
  "formula": "K4H2Se2S",
  "functional": "PBE-GGA",
  "state": "optimized geometry",
  "cell": [[-3.841, 1.254, 0.851], [-2.823, -5.346, 6.699], [0.172, 2.491, 8.671]],
  "species": ["K", "K", "K", "K", "H", "H", "Se", "Se", "S"],
  "frac_coords": [[0.139, 0.682, 0.083], [0.861, 0.917, 0.318], [0.861, 0.318, 0.917], [0.139, 0.083, 0.682], [0.102, 0.272, 0.272], [0.898, 0.728, 0.728], [0.275, 0.688, 0.688], [0.725, 0.312, 0.312], [0.500, 0.000, 0.000]],
  "vol_a3_per_cell": 269.12,
  "e_tot_ev_per_atom": -3.253
}

***

5.
{
  "formula": "Li4NdGa2",
  "functional": "PBE-GGA",
  "state": "optimized geometry",
  "cell": [[-3.921, 1.682, -0.238], [0.570, 0.742, -4.152], [-3.242, -7.501, 0.396]],
  "species": ["Li", "Li", "Li", "Li", "Nd", "Ga", "Ga"],
  "frac_coords": [[0.500, 0.817, 0.633], [0.000, 0.679, 0.358], [0.500, 0.183, 0.367], [0.000, 0.321, 0.642], [0.000, 0.000, 0.000], [0.500, 0.579, 0.158], [0.500, 0.421, 0.842]],
  "vol_a3_per_cell": 143.68,
  "n_ef_per_ev_cell": 4.119,
  "e_tot_ev_per_atom": -2.900
}

***

6.
{
  "formula": "Ho7Bi3C2",
  "functional": "PBE-GGA",
  "state": "optimized geometry",
  "cell": [[4.835, 0.000, 0.000], [0.000, 4.894, 0.000], [0.000, -2.447, 12.513]],
  "species": ["Ho", "Ho", "Ho", "Ho", "Ho", "Ho", "Ho", "Bi", "Bi", "Bi", "C", "C"],
  "frac_coords": [[0.000, 0.404, 0.808], [0.000, 0.805, 0.611], [0.000, 0.000, 0.000], [0.000, 0.596, 0.192], [0.500, 0.096, 0.192], [0.500, 0.904, 0.808], [0.000, 0.195, 0.389], [0.500, 0.500, 0.000], [0.500, 0.690, 0.379], [0.500, 0.310, 0.621], [0.000, 0.900, 0.800], [0.000, 0.100, 0.200]],
  "vol_a3_per_cell": 296.11,
  "n_ef_per_ev_cell": 7.408,
  "e_tot_ev_per_atom": -5.754
}